The following is a DFT calculation (GGA+U) of crystalline VH10SO10 at its relaxed geometry.

Output
VASP energy = -5.542 eV per atom
D(E_F) = 0.00 states/eV/f.u.
Polymorph energy (0 for the lowest one) = 5 meV/atom
Total magnetic moment = 2.0 μB/cell

a b c (Å): 7.2704 9.3977 6.2586
angles (deg): 90.00 90.00 90.00
Closest atoms and distances in Å follow each position.
Space group Pmn2_1 (No. 31)
One atom of each set of equivalent atoms:
V: 0.0000 0.2199 0.0000 [2 per cell]  1 O 1.63
H: 0.1092 0.3211 0.4093 [4 per cell]  1 O 0.99
H: 0.1595 0.9940 0.1806 [4 per cell]  1 O 0.99
H: 0.1806 0.4712 0.9883 [4 per cell]  1 O 1.00
H: 0.1881 0.8757 0.6986 [4 per cell]  1 O 1.00
H: 0.2396 0.6365 0.3093 [4 per cell]  1 O 1.00
S: 0.0000 0.7397 0.0268 [2 per cell]  4 O 1.48-1.51
O: 0.0000 0.1631 0.7538 [2 per cell]  1 V 1.63
O: 0.0000 0.3328 0.3171 [2 per cell]  2 H 0.99
O: 0.0000 0.8046 0.8102 [2 per cell]  1 S 1.49
O: 0.0000 0.8488 0.1973 [2 per cell]  1 S 1.48
O: 0.1682 0.6473 0.0510 [4 per cell]  1 S 1.51
O: 0.1959 0.0898 0.1297 [4 per cell]  2 H 0.99-1.00
O: 0.2055 0.3690 0.9556 [4 per cell]  2 H 1.00


The following is a DFT calculation (GGA+U) of crystalline VH6SO8 at its relaxed geometry.

Output
VASP energy = -5.763 eV per atom
D(E_F) = 0.00 states/eV/f.u.
Total magnetic moment = 4.0 μB/cell

a b c (Å): 7.7776 7.6154 11.8822
angles (deg): 90.00 110.34 90.00
Closest atoms and distances in Å follow each position.
Space group P2_1/c (No. 14)
One atom of each set of equivalent atoms:
V: 0.2035 0.2216 0.1267 [4 per cell]  1 O 1.63
H: 0.0020 0.0083 0.3841 [4 per cell]  1 O 1.00
H: 0.1632 0.5227 0.2457 [4 per cell]  1 O 1.00
H: 0.2493 0.1222 0.4042 [4 per cell]  1 O 0.99
H: 0.2890 0.5151 0.0127 [4 per cell]  1 O 1.00
H: 0.4379 0.7466 0.3350 [4 per cell]  1 O 1.00
H: 0.4704 0.7203 0.7118 [4 per cell]  1 O 1.00
S: 0.2445 0.6401 0.4860 [4 per cell]  4 O 1.48-1.50
O: 0.0568 0.6838 0.4864 [4 per cell]  1 S 1.50
O: 0.1195 0.0393 0.6666 [4 per cell]  2 H 1.00
O: 0.2073 0.1167 0.2476 [4 per cell]  1 V 1.63, 1 H 1.77
O: 0.2176 0.0916 0.4760 [4 per cell]  2 H 0.99-1.00
O: 0.2520 0.6496 0.3636 [4 per cell]  1 S 1.48, 1 H 1.64
O: 0.2928 0.0426 0.0337 [4 per cell]  1 S 1.50
O: 0.3762 0.7335 0.0653 [4 per cell]  1 S 1.48
O: 0.4749 0.1991 0.6994 [4 per cell]  2 H 1.00


The following is a DFT calculation (GGA+U) of crystalline VH10SO10 at its relaxed geometry.

Output
VASP energy = -5.547 eV per atom
D(E_F) = 0.00 states/eV/f.u.
Polymorph energy (0 for the lowest one) = 0 meV/atom
Total magnetic moment = 4.0 μB/cell

a b c (Å): 7.0578 9.8559 13.0614
angles (deg): 90.00 112.24 90.00
Closest atoms and distances in Å follow each position.
Space group P2_1/c (No. 14)
One atom of each set of equivalent atoms:
V: 0.1656 0.2277 0.3537 [4 per cell]  1 O 1.65
H: 0.0854 0.5599 0.6332 [4 per cell]  1 O 1.00
H: 0.1111 0.7288 0.8993 [4 per cell]  1 O 1.00
H: 0.1187 0.6535 0.0604 [4 per cell]  1 O 1.01
H: 0.1205 0.0069 0.8467 [4 per cell]  1 O 0.99
H: 0.1875 0.6044 0.1913 [4 per cell]  1 O 1.00
H: 0.2688 0.5311 0.9234 [4 per cell]  1 O 1.01
H: 0.2750 0.1515 0.0605 [4 per cell]  1 O 0.99
H: 0.3292 0.7386 0.0007 [4 per cell]  1 O 0.98
H: 0.3356 0.1936 0.5944 [4 per cell]  1 O 0.99
H: 0.4029 0.0119 0.3540 [4 per cell]  1 O 1.00
S: 0.4881 0.0570 0.8179 [4 per cell]  4 O 1.48-1.53
O: 0.0483 0.0854 0.8621 [4 per cell]  2 H 0.99-1.00
O: 0.0623 0.2079 0.2181 [4 per cell]  1 V 1.65, 1 H 1.68
O: 0.0709 0.6313 0.1223 [4 per cell]  2 H 1.00-1.01
O: 0.2095 0.6797 0.9653 [4 per cell]  2 H 0.98-1.00
O: 0.2652 0.2452 0.0313 [4 per cell]  2 H 0.99
O: 0.2997 0.5168 0.6121 [4 per cell]  1 S 1.48
O: 0.3239 0.0502 0.3969 [4 per cell]  2 H 1.00-1.01
O: 0.3407 0.5508 0.3174 [4 per cell]  1 S 1.49
O: 0.4403 0.1855 0.8687 [4 per cell]  1 S 1.53
O: 0.4724 0.0866 0.7035 [4 per cell]  1 S 1.49


Repeat the third record exactly.
The following is a DFT calculation (GGA+U) of crystalline VH10SO10 at its relaxed geometry.

Output
VASP energy = -5.547 eV per atom
D(E_F) = 0.00 states/eV/f.u.
Polymorph energy (0 for the lowest one) = 0 meV/atom
Total magnetic moment = 4.0 μB/cell

a b c (Å): 7.0578 9.8559 13.0614
angles (deg): 90.00 112.24 90.00
Closest atoms and distances in Å follow each position.
Space group P2_1/c (No. 14)
One atom of each set of equivalent atoms:
V: 0.1656 0.2277 0.3537 [4 per cell]  1 O 1.65
H: 0.0854 0.5599 0.6332 [4 per cell]  1 O 1.00
H: 0.1111 0.7288 0.8993 [4 per cell]  1 O 1.00
H: 0.1187 0.6535 0.0604 [4 per cell]  1 O 1.01
H: 0.1205 0.0069 0.8467 [4 per cell]  1 O 0.99
H: 0.1875 0.6044 0.1913 [4 per cell]  1 O 1.00
H: 0.2688 0.5311 0.9234 [4 per cell]  1 O 1.01
H: 0.2750 0.1515 0.0605 [4 per cell]  1 O 0.99
H: 0.3292 0.7386 0.0007 [4 per cell]  1 O 0.98
H: 0.3356 0.1936 0.5944 [4 per cell]  1 O 0.99
H: 0.4029 0.0119 0.3540 [4 per cell]  1 O 1.00
S: 0.4881 0.0570 0.8179 [4 per cell]  4 O 1.48-1.53
O: 0.0483 0.0854 0.8621 [4 per cell]  2 H 0.99-1.00
O: 0.0623 0.2079 0.2181 [4 per cell]  1 V 1.65, 1 H 1.68
O: 0.0709 0.6313 0.1223 [4 per cell]  2 H 1.00-1.01
O: 0.2095 0.6797 0.9653 [4 per cell]  2 H 0.98-1.00
O: 0.2652 0.2452 0.0313 [4 per cell]  2 H 0.99
O: 0.2997 0.5168 0.6121 [4 per cell]  1 S 1.48
O: 0.3239 0.0502 0.3969 [4 per cell]  2 H 1.00-1.01
O: 0.3407 0.5508 0.3174 [4 per cell]  1 S 1.49
O: 0.4403 0.1855 0.8687 [4 per cell]  1 S 1.53
O: 0.4724 0.0866 0.7035 [4 per cell]  1 S 1.49


Question: Look up the VASP energy of the third one.
Answer: -5.547 eV per atom